# 1
Rb2AlPF PBE relaxed; total magnetization = 0.001 Bohr magnetons per cell; raw total energy = -16.504 eV for the cell shown; space group = P4/mmm (123)
1.0
6.581 0.000 0.000
0.000 6.581 0.000
0.000 0.000 4.618
Rb Al P F
2 1 1 1
direct
0.000 0.500 0.000
0.500 0.000 0.000
0.000 0.000 0.500
0.000 0.000 0.000
0.500 0.500 0.500


# 2
NdEr4S5 PBE relaxed; total magnetization = 0.000 Bohr magnetons per cell; raw total energy = -63.205 eV for the cell shown; space group = Immm (71)
1.0
-1.948 2.764 9.792
1.948 -2.764 9.792
1.948 2.764 -9.792
Nd Er S
1 4 5
direct
0.000 0.000 0.000
0.203 0.203 0.000
0.401 0.401 0.000
0.599 0.599 0.000
0.797 0.797 0.000
0.107 0.607 0.500
0.301 0.801 0.500
0.500 0.000 0.500
0.699 0.199 0.500
0.893 0.393 0.500


# 3
PuBeSi PBE relaxed; total magnetization = 5.553 Bohr magnetons per cell; raw total energy = -23.804 eV for the cell shown; space group = F-43m (216)
1.0
0.000 2.977 2.977
2.977 0.000 2.977
2.977 2.977 0.000
Pu Be Si
1 1 1
direct
0.000 0.000 0.000
0.750 0.750 0.750
0.500 0.500 0.500


# 4
CeFe4P2 PBE relaxed; total magnetization = 2.028 Bohr magnetons per cell; raw total energy = -110.220 eV for the cell shown; space group = P4_2/mnm (136); energy of formation from the pure elements = -0.644 eV per atom; offset from the most stable computed form = 0.000 eV per formula unit
1.0
7.120 0.000 0.000
0.000 7.120 0.000
0.000 0.000 3.566
Ce Fe P
2 8 4
direct
0.000 0.000 0.000
0.500 0.500 0.500
0.078 0.347 0.500
0.153 0.578 0.000
0.347 0.078 0.500
0.422 0.847 0.000
0.578 0.153 0.000
0.653 0.922 0.500
0.847 0.422 0.000
0.922 0.653 0.500
0.224 0.776 0.500
0.276 0.276 0.000
0.724 0.724 0.000
0.776 0.224 0.500